# PBE SmF3, relaxed
data_SmF3
_chemical_formula_sum 'Sm2 F6'
_space_group_name_H-M_alt 'P 63/m'
_space_group_IT_number 176
_space_group_name_Hall '-P 6c'
_cell_length_a 5.8135
_cell_length_b 5.8135
_cell_length_c 3.6538
_cell_angle_alpha 90.00
_cell_angle_beta 90.00
_cell_angle_gamma 120.00
loop_
_atom_site_label
_atom_site_type_symbol
_atom_site_fract_x
_atom_site_fract_y
_atom_site_fract_z
_atom_site_occupancy
Sm1 Sm 0.3333 0.6667 0.2500 1
F1 F 0.0881 0.3924 0.7500 1
# volume	106.9	Å³/cell
# VASP energy	-6.67	eV per atom